Entry 1:
A plane-wave DFT calculation with PBE was carried out for an optimized crystal structure of Zn2IrOs.

The structure belongs to space group C2/m (No. 12); the cell edges are 8.6844, 2.7425 and 4.8610 Å and the angles 90.00°, 100.17° and 90.00°. The asymmetric unit holds Zn at (0.2494, 0.0000, 0.2492), Ir at (0.0000, 0.5000, 0.0000) and Os at (0.0000, 0.0000, 0.5000).

Its formation energy is 0.05 eV/atom. The calculation puts the volume at 113.96 Å³ per cell.

---

Entry 2:
A plane-wave DFT calculation with PBE was carried out for an optimized crystal structure of ZrCoH3.

The structure belongs to space group Pm-3m (No. 221); the cell edges are 3.3690, 3.3690 and 3.3690 Å and the angles 90.00°, 90.00° and 90.00°. The asymmetric unit holds Zr at (0.0000, 0.0000, 0.0000), Co at (0.5000, 0.5000, 0.5000) and H at (0.0000, 0.5000, 0.5000).

The calculation puts the volume at 38.24 Å³ per cell.

---

Entry 3:
A plane-wave DFT calculation with PBE was carried out for an optimized crystal structure of Li6OsF12.

The structure belongs to space group R-3 (No. 148, hexagonal axes); the cell edges are 9.0001, 9.0001 and 9.0351 Å and the angles 90.00°, 90.00° and 120.00°. The asymmetric unit holds Li at (0.0068, 0.2250, 0.3938), Os at (0.0000, 0.0000, 0.0000), F at (0.0033, 0.2149, 0.6153) and F at (0.0085, 0.8354, 0.8783).

For the formation energy without anion corrections, the calculation gives -55.51 kcal/mol of atoms. The calculation puts the volume at 633.81 Å³ per cell.

---

Entry 4:
A plane-wave DFT calculation with PBE was carried out for an optimized crystal structure of La3P2O.

The structure belongs to space group C2/c (No. 15); the cell edges are 12.8193, 5.9258 and 8.1500 Å and the angles 90.00°, 108.53° and 90.00°. The asymmetric unit holds La at (0.0000, 0.0412, 0.2500), La at (0.1542, 0.5004, 0.0771), P at (0.1725, 0.0002, 0.0863) and O at (0.0000, 0.4451, 0.2500).

For the formation energy without anion corrections, the calculation gives -44.83 kcal/mol of atoms. The calculation puts the volume at 587.00 Å³ per cell.

---

Entry 5:
A plane-wave DFT calculation with PBE was carried out for an optimized crystal structure of LaTmCdPb.

The structure belongs to space group F-43m (No. 216); the cell edges are 7.7100, 7.7100 and 7.7100 Å and the angles 90.00°, 90.00° and 90.00°. The asymmetric unit holds La at (0.0000, 0.0000, 0.0000), Tm at (0.0000, 0.0000, 0.5000), Cd at (0.2500, 0.2500, 0.2500) and Pb at (0.2500, 0.2500, 0.7500).

Its formation energy is -0.40 eV/atom. The calculation puts the volume at 458.31 Å³ per cell.

---

Entry 6:
A plane-wave DFT calculation with PBE was carried out for an optimized crystal structure of Pm3Dy2Y6Er.

The structure belongs to space group C2/m (No. 12); the cell edges are 6.2096, 10.7473 and 11.8437 Å and the angles 90.00°, 100.02° and 90.00°. The asymmetric unit holds Pm at (0.0000, 0.0000, 0.0000), Pm at (0.0000, 0.3333, 0.0000), Dy at (0.0000, 0.1666, 0.5000), Y at (0.2494, 0.0000, 0.7472), Y at (0.2491, 0.3334, 0.7471) and Er at (0.0000, 0.5000, 0.5000).

Its formation energy is 0.02 eV/atom. The calculation puts the volume at 778.36 Å³ per cell.

---

What VASP energy values result from the calculations? In sequence: -5.6085 -5.4665 -4.7842 -7.0376 -3.9058 -5.5485 eV/atom.